DFT (GGA+U) results for RbAgWF6 after structural relaxation.

## Properties
- Energy: -4.88 eV per atom

The structure in extended XYZ format:
```
18
Lattice="-0.610 5.398 1.174 -3.336 -1.303 4.251 9.057 -0.490 6.957" Properties=species:S:1:pos:R:3 pbc="T T T"
W 3.024 -0.164 2.323
Rb 9.032 -0.489 6.938
F 0.757 4.082 3.163
F 6.173 3.351 7.653
F 7.467 0.903 8.584
Rb 2.532 1.804 6.173
F 3.212 4.074 4.954
F -0.018 2.895 6.289
F -0.979 -0.187 5.123
F 1.376 -0.440 7.026
F 5.133 0.959 6.636
F 4.785 -0.062 9.220
F 3.700 2.446 8.606
Ag 6.067 -0.328 4.661
F 1.919 0.885 3.627
F 6.179 2.241 10.355
W 5.580 1.639 8.514
Ag -0.436 1.965 3.893
```